No. 1
Entry from Alexandria via LeMat-Bulk: an optimized crystal structure of NaAsPt3 (PBE-GGA).

Cell and atoms, written as extended XYZ:
```
10
Lattice="6.9660 0.0002 -0.0003 -0.0002 5.7233 0.0001 0.0003 -2.8618 4.9563" Properties=species:S:1:pos:R:3 pbc="T T T"
Pt 5.2246 0.0000 1.7664
Pt 1.7415 2.8617 3.1897
As 3.4830 0.0001 -0.0001
Na 1.7427 -0.0002 3.3041
Pt 5.2249 -1.3315 4.0730
Pt 5.2247 1.3316 4.0732
Pt 1.7413 4.1932 0.8831
Pt 1.7414 1.5301 0.8829
Na 5.2234 2.8618 1.6522
As 0.0000 0.0000 0.0000
```

Output
Calculated density ... 11.482 Mg/m³
ΔH_f (0 K) ... -185 meV per atom
Size of the total moment ... 0.000 Bohr magnetons per cell

---

No. 2
Entry from Alexandria via LeMat-Bulk: an optimized crystal structure of NaAsPt2 (PBE-GGA).

Cell and atoms, written as extended XYZ:
```
8
Lattice="-4.5424 4.5393 3.7560 -3.0118 -5.8652 3.4460 -1.8515 -0.4411 5.6616" Properties=species:S:1:pos:R:3 pbc="T T T"
Na -3.7771 -0.6630 3.6010
As 0.0000 0.0000 0.0000
Pt -3.9792 2.2942 4.4424
As -5.0855 1.7176 6.5093
Pt -8.1980 -1.8794 10.7761
Pt -2.6122 -3.5092 3.7899
Na -4.3202 -3.4846 6.3543
Pt -4.0220 -0.4396 6.7187
```

Output
Calculated density ... 10.353 Mg/m³
ΔH_f (0 K) ... -95 meV per atom
Size of the total moment ... 0.000 Bohr magnetons per cell

---

No. 3
Entry from Alexandria via LeMat-Bulk: an optimized crystal structure of NaAs3Pt (PBE-GGA).

Cell and atoms, written as extended XYZ:
```
5
Lattice="-2.1855 4.0192 -1.5833 1.4344 -0.9985 -4.5147 -4.0747 -2.5072 -0.7401" Properties=species:S:1:pos:R:3 pbc="T T T"
As 0.7172 -0.4992 -2.2573
Na 0.0000 0.0000 0.0000
As -2.0373 -1.2536 -0.3700
As -1.0927 2.0096 -0.7916
Pt -2.4129 0.2567 -3.4190
```

Output
Calculated density ... 6.481 Mg/m³
ΔH_f (0 K) ... 1322 meV per atom
Size of the total moment ... 0.000 Bohr magnetons per cell

---

No. 4
Entry from Alexandria via LeMat-Bulk: an optimized crystal structure of Na2AsPt3 (PBE-GGA).

Cell and atoms, written as extended XYZ:
```
6
Lattice="4.6670 -0.0072 2.1684 1.3806 4.4582 2.1684 -0.0098 -0.0072 5.1462" Properties=species:S:1:pos:R:3 pbc="T T T"
Na 3.7505 2.7603 5.8904
Pt -0.0049 -0.0036 2.5731
Pt 2.3335 -0.0036 1.0842
Na 2.2874 1.6835 3.5925
Pt 0.6903 2.2291 1.0842
As 0.0000 0.0000 0.0000
```

Output
Calculated density ... 10.931 Mg/m³
ΔH_f (0 K) ... -451 meV per atom
Size of the total moment ... 0.000 Bohr magnetons per cell

---

The lowest calculated density belongs to which entry?
NaAs3Pt